Entry 1:
Density functional theory data (PBE) for a geometry-optimized InW2S structure.

a = 6.3937 Å, b = 6.3937 Å, c = 6.3937 Å
α = 90.00°, β = 90.00°, γ = 90.00°
Last column: nearest neighbours and their distance in Å.
Space group Fm-3m (No. 225)
Unique sites:
In  0.0000  0.0000  0.0000 [4 per cell]  8 W 2.77
W  0.2500  0.2500  0.2500 [8 per cell]  4 S 2.77, 4 In 2.77
S  0.0000  0.0000  0.5000 [4 per cell]  8 W 2.77

Energy relative to the elements, uncorrected = 906 meV/atom

Entry 2:
Density functional theory data (PBE) for a geometry-optimized InWS2 structure.

a = 6.6215 Å, b = 6.6215 Å, c = 9.9171 Å
α = 90.00°, β = 90.00°, γ = 90.00°
Last column: nearest neighbours and their distance in Å.
Space group I-42d (No. 122)
Unique sites:
In  0.0000  0.0000  0.0000 [4 per cell]  4 S 3.14
W  0.0000  0.0000  0.5000 [4 per cell]  4 S 2.28
S  0.1438  0.2500  0.6250 [8 per cell]  2 W 2.28

Energy relative to the elements, uncorrected = 35 meV/atom

Entry 3:
Density functional theory data (PBE) for a geometry-optimized YInWS2 structure.

a = 5.2243 Å, b = 5.2243 Å, c = 5.8159 Å
α = 90.00°, β = 90.00°, γ = 90.00°
Last column: nearest neighbours and their distance in Å.
Space group P4/mmm (No. 123)
Unique sites:
Y  0.0000  0.0000  0.0000 [1 per cell]  4 S 2.61, 2 W 2.91
In  0.5000  0.5000  0.5000 [1 per cell]  4 W 3.69, 8 S 3.91
W  0.0000  0.0000  0.5000 [1 per cell]  2 Y 2.91
S  0.0000  0.5000  0.0000 [2 per cell]  2 Y 2.61

Energy relative to the elements, uncorrected = 773 meV/atom

Entry 4:
Density functional theory data (PBE) for a geometry-optimized YInS3 structure.

a = 4.9323 Å, b = 4.9323 Å, c = 4.9323 Å
α = 90.00°, β = 90.00°, γ = 90.00°
Last column: nearest neighbours and their distance in Å.
Space group Pm-3m (No. 221)
Unique sites:
Y  0.0000  0.0000  0.0000 [1 per cell]  12 S 3.49
In  0.5000  0.5000  0.5000 [1 per cell]  6 S 2.47
S  0.0000  0.5000  0.5000 [3 per cell]  2 In 2.47

Energy relative to the elements, uncorrected = -536 meV/atom

Entry 5:
Density functional theory data (PBE) for a geometry-optimized YInS3 structure.

a = 5.3140 Å, b = 5.3140 Å, c = 5.3140 Å
α = 90.00°, β = 90.00°, γ = 90.00°
Last column: nearest neighbours and their distance in Å.
Space group Pm-3m (No. 221)
Unique sites:
Y  0.0000  0.0000  0.0000 [1 per cell]  6 S 2.66
In  0.5000  0.5000  0.5000 [1 per cell]  12 S 3.76
S  0.0000  0.0000  0.5000 [3 per cell]  2 Y 2.66

Energy relative to the elements, uncorrected = -582 meV/atom

Entry 6:
Density functional theory data (PBE) for a geometry-optimized YIn3S structure.

a = 5.2620 Å, b = 5.2620 Å, c = 5.2620 Å
α = 90.00°, β = 90.00°, γ = 90.00°
Last column: nearest neighbours and their distance in Å.
Space group Pm-3m (No. 221)
Unique sites:
Y  0.0000  0.0000  0.0000 [1 per cell]  12 In 3.72
In  0.0000  0.5000  0.5000 [3 per cell]  2 S 2.63
S  0.5000  0.5000  0.5000 [1 per cell]  6 In 2.63

Energy relative to the elements, uncorrected = 137 meV/atom